First-principles (PBE) data for a relaxed LaPr2Ag2 crystal, as listed in Alexandria via LeMat-Bulk.

Computed properties:
Magnetic moment, μB/f.u.: 0.00
Formation energy, eV/atom: -0.183
Polymorph energy (0 for the lowest one), meV per atom: 0
Density of states at the Fermi level, states/eV/atom: 1.10

Structure (POSCAR):
```
LaPr2Ag2
1.0
3.7904 0.0000 0.0000
0.0000 5.5046 0.0000
-1.8837 0.0000 14.0340
La Pr Ag
2 4 4
direct
0.1444 0.2500 0.2900
0.8556 0.7500 0.7100
0.0474 0.7500 0.0951
0.2341 0.7500 0.4669
0.7659 0.2500 0.5331
0.9526 0.2500 0.9049
0.3590 0.2500 0.7180
0.4538 0.7500 0.9064
0.5462 0.2500 0.0936
0.6410 0.7500 0.2820
```